NaTlCrF6 | PBE+U | optimized geometry

Geometry as POSCAR:
```
NaTlCrF6
1.0
5.917 0.000 0.000
-2.958 5.124 0.000
0.000 0.000 8.964
Na Tl Cr F
2 2 2 12
Cartesian
0.000 0.000 0.000 Na
0.000 0.000 4.482 Na
0.000 3.416 2.241 Tl
2.958 1.708 6.723 Tl
0.000 3.416 6.723 Cr
2.958 1.708 2.241 Cr
-0.764 1.986 5.650 F
-1.621 3.470 7.796 F
0.764 1.986 7.796 F
-0.857 4.793 5.650 F
2.101 0.332 1.168 F
1.338 1.654 3.314 F
1.621 3.470 5.650 F
0.857 4.793 7.796 F
3.815 0.332 3.314 F
2.195 3.138 1.168 F
4.579 1.654 1.168 F
3.722 3.138 3.314 F
```

Calculated values
- Raw total energy: -4.89 eV/atom
- Magnetic moment: 0.233 μB per atom